Pr3TmTl PBE-GGA relaxed; crystal system = orthorhombic; total magnetic moment = 0.0 μB/cell; space group = Cmcm; DFT formation energy = -0.123 eV per atom
1.0
-3.1320 0.2962 -3.8183
-3.5504 -2.0710 2.7516
-5.3214 11.8890 2.0821
Pr Tm Tl
6 2 2
Cartesian
-3.8705 0.9821 -2.0322 Pr
-6.8017 10.1459 1.0831 Pr
-5.3526 5.6157 -0.4570 Pr
-4.1007 -0.1359 1.2751 Pr
-10.1639 9.3242 0.5720 Pr
-5.5498 4.3943 2.8151 Pr
-7.8598 6.8685 1.6967 Tm
-3.0426 3.1415 0.6614 Tm
-6.3964 2.2933 0.1413 Tl
-7.6381 8.0129 -1.6016 Tl